1.
## CsZnSbTeHO (PBE)

Data for a relaxed structure of CsZnSbTeHO.

Cell: 5.2274 3.8752 7.9531 Å, 90.00 102.48 90.00°
Positions (direct):
1 Cs 0.0000 0.0000 0.0000
2 Zn 0.4256 0.5000 0.7240
3 Sb 0.5720 0.0000 0.4296
4 Te 0.0384 0.5000 0.4354
5 H 0.4203 0.5000 0.9272
6 O 0.5865 0.0000 0.6868

Polymorph energy (0 for the lowest one) ... 0.48 eV/f.u.
Space group ... No. 6
Calculated volume ... 26.2 A^3/atom

***

2.
## KRb7Te4 (PBE)

Data for a relaxed structure of KRb7Te4.

Cell: 10.0327 10.0327 13.5934 Å, 128.40 128.40 35.50°
Positions (direct):
1 K 0.0000 0.0000 0.0000
2 Rb 0.1148 0.1148 0.3603
3 Rb 0.1990 0.1990 0.8749
4 Rb 0.3599 0.3599 0.4018
5 Rb 0.5000 0.5000 0.0000
6 Rb 0.6401 0.6401 0.5982
7 Rb 0.8010 0.8010 0.1251
8 Rb 0.8852 0.8852 0.6397
9 Te 0.2807 0.2807 0.7024
10 Te 0.4392 0.4392 0.2083
11 Te 0.5608 0.5608 0.7917
12 Te 0.7193 0.7193 0.2976

Space group ... No. 12
Calculated volume ... 50.2 A^3/atom
Energy relative to the elements, uncorrected ... -0.80 eV/atom